# 1
4
Lattice="-3.832 -0.612 3.733 0.958 -2.986 4.377 0.525 2.364 4.810" Properties=species:S:1:pos:R:3 comment="PmPaSn2, optimized geometry, DFT PBE" crystal_system=cubic e_tot_ev_per_cell=-23.392 pbc="T T T"
Pa 0.000 0.000 0.000
Sn -0.587 -0.309 3.230
Sn -1.762 -0.926 9.690
Pm -1.175 -0.617 6.460

# 2
24
Lattice="4.527 0.000 0.000 0.000 7.494 0.000 0.000 0.000 23.284" Properties=species:S:1:pos:R:3 comment="Rb2ZnSe3, optimized geometry, DFT PBE" crystal_system=orthorhombic e_tot_ev_per_cell=-74.456 pbc="T T T"
Rb 1.132 4.845 13.355
Rb 3.395 6.396 1.713
Rb 1.132 1.098 21.572
Rb 3.395 2.649 9.929
Rb 1.132 5.654 18.291
Rb 3.395 5.586 6.649
Rb 1.132 1.907 16.635
Rb 3.395 1.840 4.993
Zn 1.132 7.382 10.412
Zn 3.395 3.858 22.054
Zn 1.132 3.636 1.231
Zn 3.395 0.111 12.873
Se 1.132 5.133 22.508
Se 3.395 6.107 10.866
Se 1.132 1.386 12.418
Se 3.395 2.360 0.776
Se 1.132 6.634 4.192
Se 3.395 4.607 15.834
Se 1.132 2.887 7.450
Se 3.395 0.860 19.092
Se 1.132 4.285 3.629
Se 3.395 6.956 15.272
Se 1.132 0.538 8.013
Se 3.395 3.209 19.655

# 3
3
Lattice="-2.694 -2.464 -0.719 1.996 1.441 -2.790 2.405 -2.720 0.315" Properties=species:S:1:pos:R:3 comment="CoAgP, optimized geometry, DFT PBE" crystal_system=hexagonal e_tot_ev_per_cell=-15.426 pbc="T T T"
Ag 0.000 0.000 0.000
Co 0.072 -2.522 -1.251
P 1.635 -1.221 -1.942

# 4
4
Lattice="5.651 0.000 0.000 2.826 4.894 0.000 2.826 1.631 4.614" Properties=species:S:1:pos:R:3 comment="Ba2ScMo, optimized geometry, DFT PBE" crystal_system=cubic e_tot_ev_per_cell=-17.169 pbc="T T T"
Ba 0.000 0.000 0.000
Ba 2.826 1.631 1.154
Mo 5.651 3.263 2.307
Sc 8.477 4.894 3.461

# 5
6
Lattice="4.664 -0.142 -2.452 -2.966 4.352 -0.222 -0.216 0.117 5.238" Properties=species:S:1:pos:R:3 comment="Sc2VRe3, optimized geometry, DFT PBE" crystal_system=trigonal e_tot_ev_per_cell=-61.033 pbc="T T T"
Sc 2.366 1.545 -1.254
Sc -0.884 2.782 3.819
V 0.000 0.000 0.000
Re 0.741 2.164 1.282
Re -0.108 0.059 2.619
Re 2.224 -0.012 1.393

# 6
4
Lattice="-1.316 -3.642 0.185 0.240 -2.308 -3.106 8.578 -5.061 2.005" Properties=species:S:1:pos:R:3 comment="Gd2TmTe, optimized geometry, DFT PBE" crystal_system=trigonal e_tot_ev_per_cell=-37.924 pbc="T T T"
Gd 1.587 -2.653 -0.325
Gd 5.916 -8.358 -0.590
Tm 3.751 -5.505 -0.458
Te 0.000 0.000 0.000